(1)
! TiZn12Ag3 PBE-GGA relaxed; values from VASP
&SYSTEM
  ibrav = 0, nat = 16, ntyp = 3
/
ATOMIC_SPECIES
Ti 47.87 Ti.upf
Zn 65.41 Zn.upf
Ag 107.87 Ag.upf
CELL_PARAMETERS angstrom
4.060 0.000 0.000
0.000 4.060 0.000
0.000 0.000 14.994
ATOMIC_POSITIONS crystal
Ti 0.000 0.000 0.000
Zn 0.500 0.500 0.000
Zn 0.500 0.500 0.255
Zn 0.500 0.500 0.500
Zn 0.500 0.500 0.745
Zn 0.500 0.000 0.122
Zn 0.500 0.000 0.374
Zn 0.500 0.000 0.626
Zn 0.500 0.000 0.878
Zn 0.000 0.500 0.122
Zn 0.000 0.500 0.374
Zn 0.000 0.500 0.626
Zn 0.000 0.500 0.878
Ag 0.000 0.000 0.245
Ag 0.000 0.000 0.500
Ag 0.000 0.000 0.755
! Spin magnetization ... 0.0 μB/f.u.
! E_form ... -0.049 eV per atom
! VASP energy ... -2.033 eV/atom
! DOS(E_F) ... 4.4 states/eV/cell

=====

(2)
! Pa6TcGe3 PBE-GGA relaxed; values from VASP
&SYSTEM
  ibrav = 0, nat = 20, ntyp = 3
/
ATOMIC_SPECIES
Pa 231.04 Pa.upf
Tc 98.00 Tc.upf
Ge 72.64 Ge.upf
CELL_PARAMETERS angstrom
-4.112 -3.828 -5.430
-4.120 -3.866 5.396
-5.643 5.403 0.015
ATOMIC_POSITIONS crystal
Pa 0.236 0.886 0.229
Pa 0.114 0.771 0.764
Pa 0.524 0.838 0.451
Pa 0.771 0.764 0.114
Pa 0.451 0.524 0.838
Pa 0.162 0.549 0.476
Pa 0.838 0.451 0.524
Pa 0.549 0.476 0.162
Pa 0.229 0.236 0.886
Pa 0.476 0.162 0.549
Pa 0.886 0.229 0.236
Pa 0.764 0.114 0.771
Tc 0.000 0.000 0.000
Tc 0.500 0.500 0.500
Ge 0.466 0.900 0.857
Ge 0.900 0.857 0.466
Ge 0.143 0.534 0.100
Ge 0.857 0.466 0.900
Ge 0.100 0.143 0.534
Ge 0.534 0.100 0.143
! Spin magnetization ... 0.0 μB/f.u.
! E_form ... -0.142 eV per atom
! VASP energy ... -8.261 eV/atom
! DOS(E_F) ... 35.7 states/eV/cell

=====

(3)
! Ac2YSn3Pd6 PBE-GGA relaxed; values from VASP
&SYSTEM
  ibrav = 0, nat = 12, ntyp = 4
/
ATOMIC_SPECIES
Ac 227.00 Ac.upf
Y 88.91 Y.upf
Sn 118.71 Sn.upf
Pd 106.42 Pd.upf
CELL_PARAMETERS angstrom
4.260 0.000 0.000
0.000 4.260 0.000
0.000 0.000 17.457
ATOMIC_POSITIONS crystal
Ac 0.500 0.500 0.184
Ac 0.500 0.500 0.816
Y 0.500 0.500 0.500
Sn 0.000 0.000 0.299
Sn 0.000 0.000 0.701
Sn 0.000 0.000 0.000
Pd 0.000 0.500 0.611
Pd 0.500 0.000 0.389
Pd 0.500 0.000 0.611
Pd 0.000 0.000 0.146
Pd 0.000 0.500 0.389
Pd 0.000 0.000 0.854
! Spin magnetization ... 0.0 μB/f.u.
! E_form ... -0.556 eV per atom
! VASP energy ... -5.377 eV/atom
! DOS(E_F) ... 6.5 states/eV/cell

=====

(4)
! NpCd3 PBE-GGA relaxed; values from VASP
&SYSTEM
  ibrav = 0, nat = 4, ntyp = 2
/
ATOMIC_SPECIES
Np 237.00 Np.upf
Cd 112.41 Cd.upf
CELL_PARAMETERS angstrom
-1.089 2.607 0.686
-2.493 0.171 -4.609
-4.939 -2.740 2.570
ATOMIC_POSITIONS crystal
Np 0.000 0.000 0.014
Cd 0.500 0.000 0.518
Cd 0.500 0.500 0.806
Cd 0.000 0.500 0.328
! Spin magnetization ... 4.7 μB/f.u.
! E_form ... 0.188 eV per atom
! VASP energy ... -3.733 eV/atom
! DOS(E_F) ... 5.9 states/eV/cell

=====

(5)
! Pr8Ga3TcBr4 PBE-GGA relaxed; values from VASP
&SYSTEM
  ibrav = 0, nat = 16, ntyp = 4
/
ATOMIC_SPECIES
Pr 140.91 Pr.upf
Ga 69.72 Ga.upf
Tc 98.00 Tc.upf
Br 79.90 Br.upf
CELL_PARAMETERS angstrom
8.613 0.000 0.000
0.000 9.025 0.298
-4.307 -4.294 6.083
ATOMIC_POSITIONS crystal
Pr 0.227 0.710 0.983
Pr 0.227 0.710 0.454
Pr 0.256 0.269 0.512
Pr 0.756 0.710 0.983
Pr 0.244 0.290 0.017
Pr 0.744 0.731 0.488
Pr 0.773 0.290 0.546
Pr 0.773 0.290 0.017
Ga 0.500 0.500 0.000
Ga 0.500 0.500 0.500
Ga 0.000 0.500 0.500
Tc 0.000 0.500 0.000
Br 0.500 0.000 0.000
Br 0.500 0.000 0.500
Br 0.000 0.000 0.000
Br 0.000 0.000 0.500
! Spin magnetization ... 0.0 μB/f.u.
! VASP energy ... -4.823 eV/atom
! E_form (uncorrected) ... -799 meV per atom
! DOS(E_F) ... 9.9 states/eV/cell

=====

(6)
! LiScGa2Pd2 PBE-GGA relaxed; values from VASP
&SYSTEM
  ibrav = 0, nat = 6, ntyp = 4
/
ATOMIC_SPECIES
Li 6.94 Li.upf
Sc 44.96 Sc.upf
Ga 69.72 Ga.upf
Pd 106.42 Pd.upf
CELL_PARAMETERS angstrom
-1.454 0.831 4.103
-2.626 -2.078 -2.904
2.053 -5.034 1.747
ATOMIC_POSITIONS crystal
Li 0.000 0.000 0.000
Sc 0.000 0.000 0.500
Ga 0.333 0.667 0.770
Ga 0.667 0.333 0.230
Pd 0.333 0.667 0.239
Pd 0.667 0.333 0.761
! Spin magnetization ... 0.0 μB/f.u.
! E_form ... -0.697 eV per atom
! VASP energy ... -4.811 eV/atom
! DOS(E_F) ... 3.4 states/eV/cell

=====

(7)
! Ca2InGa4Ag3 PBE-GGA relaxed; values from VASP
&SYSTEM
  ibrav = 0, nat = 10, ntyp = 4
/
ATOMIC_SPECIES
Ca 40.08 Ca.upf
In 114.82 In.upf
Ga 69.72 Ga.upf
Ag 107.87 Ag.upf
CELL_PARAMETERS angstrom
4.338 0.000 0.000
0.000 4.338 0.000
0.000 0.000 11.563
ATOMIC_POSITIONS crystal
Ca 0.500 0.000 0.244
Ca 0.000 0.500 0.756
In 0.500 0.500 0.500
Ga 0.500 0.500 0.000
Ga 0.000 0.000 0.000
Ga 0.500 0.000 0.647
Ga 0.000 0.500 0.353
Ag 0.000 0.000 0.500
Ag 0.500 0.000 0.866
Ag 0.000 0.500 0.134
! Spin magnetization ... 0.0 μB/f.u.
! E_form ... -0.290 eV per atom
! VASP energy ... -3.030 eV/atom
! DOS(E_F) ... 4.6 states/eV/cell

=====

(8)
! Tl3PtW PBE-GGA relaxed; values from VASP
&SYSTEM
  ibrav = 0, nat = 5, ntyp = 3
/
ATOMIC_SPECIES
Tl 204.38 Tl.upf
W 183.84 W.upf
Pt 195.08 Pt.upf
CELL_PARAMETERS angstrom
5.313 0.000 0.000
0.000 5.313 0.000
0.000 0.000 5.313
ATOMIC_POSITIONS crystal
Tl 0.000 0.500 0.000
Tl 0.000 0.000 0.500
Tl 0.500 0.000 0.000
W 0.500 0.500 0.500
Pt 0.000 0.000 0.000
! Spin magnetization ... 4.6 μB/f.u.
! E_form ... 1.222 eV per atom
! VASP energy ... -3.996 eV/atom
! DOS(E_F) ... 2.6 states/eV/cell